LiPmHoRe | GGA-PBE | optimized geometry

Cell lengths 4.964, 4.964, 4.964 Å; angles 60.00, 60.00, 60.00 degrees
Positions (direct):
Re: 0.750 0.750 0.750
Ho: 0.500 0.500 0.500
Pm: 0.000 0.000 0.000
Li: 0.250 0.250 0.250

Properties
The space-group type is F-43m, No. 216. The value obtained for the electronic total energy is -5.8147 eV/atom.

LiPmHoRh | GGA-PBE | optimized geometry

Cell lengths 4.989, 4.989, 4.989 Å; angles 60.00, 60.00, 60.00 degrees
Positions (direct):
Ho: 0.500 0.500 0.500
Rh: 0.750 0.750 0.750
Pm: 0.000 0.000 0.000
Li: 0.250 0.250 0.250

Properties
The space-group type is F-43m, No. 216. The value obtained for the electronic total energy is -5.0820 eV/atom.

LiPmHoRu | GGA-PBE | optimized geometry

Cell lengths 4.962, 4.962, 4.962 Å; angles 60.00, 60.00, 60.00 degrees
Positions (direct):
Ho: 0.500 0.500 0.500
Li: 0.250 0.250 0.250
Ru: 0.750 0.750 0.750
Pm: 0.000 0.000 0.000

Properties
The space-group type is F-43m, No. 216. The value obtained for the electronic total energy is -5.3593 eV/atom.